(1)
Computed, not measured: an optimized crystal structure of Er2SnIr2 at the PBE level of DFT.

Cell: 10.072 5.485 8.006 Å, 90.00 105.00 90.00°
Space group C2/c (No. 15)
Inequivalent atoms, fractional coordinates:
Er (0.147, 0.159, 0.150) [8 per cell]
Sn (0.000, 0.332, 0.750) [4 per cell]
Ir (0.139, 0.360, 0.500) [8 per cell]

## Properties
Formation enthalpy at 0 K in meV/atom: -848
Density of states at the Fermi level in states/eV/cell: 12.97

(2)
Computed, not measured: an optimized crystal structure of CrN2 at the PBE level of DFT.

Cell: 4.973 5.077 6.853 Å, 78.68 89.24 70.04°
Space group P1 (No. 1)
Inequivalent atoms, fractional coordinates:
Cr (0.000, 0.000, 0.000) [1 per cell]
Cr (0.091, 0.117, 0.563) [1 per cell]
Cr (0.524, 0.416, 0.287) [1 per cell]
Cr (0.801, 0.658, 0.670) [1 per cell]
N (0.058, 0.254, 0.805) [1 per cell]
N (0.263, 0.246, 0.382) [1 per cell]
N (0.321, 0.733, 0.158) [1 per cell]
N (0.464, 0.850, 0.669) [1 per cell]
N (0.726, 0.436, 0.491) [1 per cell]
N (0.732, 0.204, 0.132) [1 per cell]
N (0.883, 0.782, 0.909) [1 per cell]
N (0.952, 0.863, 0.508) [1 per cell]

## Properties
Density of states at the Fermi level in states/eV/cell: 1.59
Raw total energy in eV/atom: -8.511

(3)
Computed, not measured: an optimized crystal structure of Pm5Pr6Dy at the PBE level of DFT.

Cell: 5.201 10.371 15.588 Å, 90.00 90.00 90.00°
Space group Immm (No. 71)
Inequivalent atoms, fractional coordinates:
Pm (0.000, 0.000, 0.000) [2 per cell]
Pm (0.000, 0.000, 0.334) [4 per cell]
Pm (0.000, 0.500, 0.333) [4 per cell]
Pr (0.000, 0.249, 0.500) [4 per cell]
Pr (0.000, 0.251, 0.166) [8 per cell]
Dy (0.000, 0.500, 0.000) [2 per cell]

## Properties
Formation enthalpy at 0 K in meV/atom: 13
Density of states at the Fermi level in states/eV/cell: 37.79

(4)
Computed, not measured: an optimized crystal structure of Pm2Al5Cu12 at the PBE level of DFT.

Cell: 8.7550 8.7550 12.8632 Å, 90.00 90.00 120.00°
Space group R-3m (No. 166, hexagonal axes)
Inequivalent atoms, fractional coordinates:
Pm (0.0000, 0.0000, 0.1525) [6 per cell]
Al (0.0000, 0.0000, 0.4018) [6 per cell]
Al (0.0000, 0.5000, 0.0000) [9 per cell]
Cu (0.0000, 0.2918, 0.5000) [18 per cell]
Cu (0.0029, 0.5015, 0.3478) [18 per cell]

## Properties
Formation enthalpy at 0 K in meV/atom: -263
Density of states at the Fermi level in states/eV/cell: 24.75

(5)
Computed, not measured: an optimized crystal structure of UTiPt6 at the PBE level of DFT.

Cell: 4.064 4.064 8.102 Å, 90.00 90.00 90.00°
Space group P4/mmm (No. 123)
Inequivalent atoms, fractional coordinates:
U (0.000, 0.000, 0.000) [1 per cell]
Ti (0.000, 0.000, 0.500) [1 per cell]
Pt (0.000, 0.500, 0.265) [4 per cell]
Pt (0.500, 0.500, 0.000) [1 per cell]
Pt (0.500, 0.500, 0.500) [1 per cell]

## Properties
Formation enthalpy at 0 K in meV/atom: -764
Density of states at the Fermi level in states/eV/cell: 8.12

(6)
Computed, not measured: an optimized crystal structure of RbGe3Au3 at the PBE level of DFT.

Cell: 7.266 7.266 7.266 Å, 90.00 90.00 90.00°
Space group Pm-3n (No. 223)
Inequivalent atoms, fractional coordinates:
Rb (0.000, 0.000, 0.000) [2 per cell]
Ge (0.000, 0.250, 0.500) [6 per cell]
Au (0.000, 0.500, 0.250) [6 per cell]

## Properties
Formation enthalpy at 0 K in meV/atom: -51
Density of states at the Fermi level in states/eV/cell: 12.30

(7)
Computed, not measured: an optimized crystal structure of KCa2TiNb at the PBE level of DFT.

Cell: 5.779 5.779 5.624 Å, 90.00 90.00 90.00°
Space group P4/mmm (No. 123)
Inequivalent atoms, fractional coordinates:
K (0.000, 0.000, 0.000) [1 per cell]
Ca (0.000, 0.500, 0.500) [2 per cell]
Ti (0.000, 0.000, 0.500) [1 per cell]
Nb (0.500, 0.500, 0.000) [1 per cell]

## Properties
Formation enthalpy at 0 K in meV/atom: 1827
Density of states at the Fermi level in states/eV/cell: 9.19

(8)
Computed, not measured: an optimized crystal structure of Ba4GaS2 at the PBE level of DFT.

Cell: 6.028 6.028 16.652 Å, 90.00 90.00 90.00°
Space group I4/mmm (No. 139)
Inequivalent atoms, fractional coordinates:
Ba (0.000, 0.000, 0.206) [4 per cell]
Ba (0.000, 0.500, 0.000) [4 per cell]
Ga (0.000, 0.000, 0.000) [2 per cell]
S (0.000, 0.000, 0.383) [4 per cell]

## Properties
Density of states at the Fermi level in states/eV/cell: 8.04
Raw total energy in eV/atom: -3.467

(9)
Computed, not measured: an optimized crystal structure of LaTcAg2Mo at the PBE level of DFT.

Cell: 5.098 5.098 4.860 Å, 90.00 90.00 90.00°
Space group P4/mmm (No. 123)
Inequivalent atoms, fractional coordinates:
La (0.000, 0.000, 0.000) [1 per cell]
Tc (0.000, 0.000, 0.500) [1 per cell]
Ag (0.000, 0.500, 0.500) [2 per cell]
Mo (0.500, 0.500, 0.000) [1 per cell]

## Properties
Formation enthalpy at 0 K in meV/atom: 1564
Density of states at the Fermi level in states/eV/cell: 6.95

(10)
Computed, not measured: an optimized crystal structure of LaYH2 at the PBE level of DFT.

Cell: 6.422 6.422 6.422 Å, 90.00 90.00 90.00°
Space group Fm-3m (No. 225)
Inequivalent atoms, fractional coordinates:
La (0.000, 0.000, 0.000) [4 per cell]
Y (0.000, 0.000, 0.500) [4 per cell]
H (0.250, 0.250, 0.250) [8 per cell]

## Properties
Density of states at the Fermi level in states/eV/cell: 15.15
Raw total energy in eV/atom: -4.375

(11)
Computed, not measured: an optimized crystal structure of CaAl2Si2O10 at the PBE level of DFT.

Cell: 5.305 13.017 5.370 Å, 90.00 113.32 90.00°
Space group P2_1/m (No. 11)
Inequivalent atoms, fractional coordinates:
Ca (0.170, 0.250, 0.340) [2 per cell]
Al (0.000, 0.000, 0.000) [2 per cell]
Al (0.500, 0.000, 0.500) [2 per cell]
Si (0.487, 0.631, 0.027) [4 per cell]
O (0.148, 0.562, 0.348) [4 per cell]
O (0.152, 0.617, 0.901) [4 per cell]
O (0.187, 0.750, 0.468) [2 per cell]
O (0.362, 0.066, 0.139) [4 per cell]
O (0.380, 0.112, 0.645) [4 per cell]
O (0.437, 0.250, 0.030) [2 per cell]

## Properties
Density of states at the Fermi level in states/eV/cell: 1.84
Raw total energy in eV/atom: -6.910

(12)
Computed, not measured: an optimized crystal structure of Sc2AlCu at the PBE level of DFT.

Cell: 4.057 4.057 9.077 Å, 90.00 90.00 90.00°
Space group I-4m2 (No. 119)
Inequivalent atoms, fractional coordinates:
Sc (0.000, 0.000, 0.000) [2 per cell]
Sc (0.000, 0.500, 0.250) [2 per cell]
Al (0.000, 0.500, 0.750) [2 per cell]
Cu (0.000, 0.000, 0.500) [2 per cell]

## Properties
Formation enthalpy at 0 K in meV/atom: -169
Density of states at the Fermi level in states/eV/cell: 9.05

Look up the density of states at the Fermi level of the first one. 12.97 states/eV/cell